TbAlZn6Ag: relaxed, PBE.

CIF file:
```
data_TbAlZn6Ag
_symmetry_space_group_name_H-M 'I m m a'
_symmetry_Int_Tables_number 74
_symmetry_space_group_name_Hall '-I 2b 2'
_cell_length_a 5.1249
_cell_length_b 9.5567
_cell_length_c 15.2477
_cell_angle_alpha 90.00
_cell_angle_beta 90.00
_cell_angle_gamma 90.00
loop_
_atom_site_label
_atom_site_fract_x
_atom_site_fract_y
_atom_site_fract_z
_atom_site_occupancy
Tb1 0.0000 0.2500 0.0816 1
Al1 0.2500 0.2500 0.7500 1
Zn1 0.0000 0.2500 0.5765 1
Zn2 0.0000 0.2500 0.8972 1
Zn3 0.2498 0.0046 0.6601 1
Ag1 0.0000 0.0000 0.5000 1
```

Energy of formation: 0.96 eV/f.u.
Total moment: 0.00 Bohr magnetons per cell
DFT total energy: -17.903 eV per formula unit